Material: MgCrN2
Method: DFT, meta-GGA SCAN
State: single point on PBEsol structure

Structure (extended XYZ):
```
8
Lattice="4.5674 0.0000 0.0000 0.0000 4.5674 0.0000 -2.2837 -2.2837 4.3987" Properties=species:S:1:pos:R:3 pbc="T T T"
N -1.1418 -1.3633 3.2990
Cr 0.0000 0.0000 0.0000
Mg 2.2837 2.2837 0.0000
Mg 2.2837 0.0000 2.1993
N 0.9203 3.4255 1.0997
N 3.6470 1.1418 1.0997
N 1.1418 1.3633 3.2990
Cr 0.0000 2.2837 2.1993
```

E_tot, eV per atom: -11.353
SG: I-42d, No. 122
Size of the total moment, μB/atom: 0.4991
Mass density, g cm⁻³: 3.78
Energy relative to the elements, uncorrected, kJ per mole of atoms: -83.8